No. 1
The following is a GGA-PBE calculation of a relaxed Na2Sr3Pb4 crystal, from Alexandria via LeMat-Bulk.

abc: 10.0164 5.7795 10.6126
angles: 90.00 95.72 90.00
Space group C2/m (No. 12)
Asymmetric unit:
Na 0.2114 0.0000 0.4126 [4 per cell]
Sr 0.0000 0.5000 0.0000 [2 per cell]
Sr 0.1388 0.0000 0.7602 [4 per cell]
Pb 0.0435 0.5000 0.3538 [4 per cell]
Pb 0.1751 0.0000 0.1011 [4 per cell]

Energy of formation = -0.35 eV/atom
D(E_F) = 9.9 states/eV/cell
Magnetic moment = 0.0 μB per cell

***

No. 2
The following is a GGA-PBE calculation of a relaxed Y2CoPt crystal, from Alexandria via LeMat-Bulk.

abc: 3.4204 3.4204 6.9035
angles: 90.00 90.00 90.00
Space group P4/mmm (No. 123)
Asymmetric unit:
Y 0.0000 0.0000 0.2416 [2 per cell]
Co 0.5000 0.5000 0.0000 [1 per cell]
Pt 0.5000 0.5000 0.5000 [1 per cell]

Energy of formation = -0.67 eV/atom
D(E_F) = 1.4 states/eV/cell
Magnetic moment = 0.4 μB per cell

***

No. 3
The following is a GGA-PBE calculation of a relaxed AlInIr2 crystal, from Alexandria via LeMat-Bulk.

abc: 4.3223 4.3223 3.3404
angles: 90.00 90.00 90.00
Space group P4/mmm (No. 123)
Asymmetric unit:
Al 0.0000 0.0000 0.0000 [1 per cell]
In 0.5000 0.5000 0.0000 [1 per cell]
Ir 0.0000 0.5000 0.5000 [2 per cell]

Energy of formation = -0.38 eV/atom
D(E_F) = 1.2 states/eV/cell
Magnetic moment = 0.0 μB per cell

***

No. 4
The following is a GGA-PBE calculation of a relaxed PrHoScZn crystal, from Alexandria via LeMat-Bulk.

abc: 3.4932 3.4932 8.5871
angles: 90.00 90.00 90.00
Space group P4mm (No. 99)
Asymmetric unit:
Pr 0.0000 0.0000 0.0000 [1 per cell]
Ho 0.5000 0.5000 0.6858 [1 per cell]
Sc 0.5000 0.5000 0.2905 [1 per cell]
Zn 0.0000 0.0000 0.4661 [1 per cell]

Relative energy among the computed polymorphs = 0 meV per atom
Energy of formation = -0.15 eV/atom
D(E_F) = 4.2 states/eV/cell
Magnetic moment = 0.0 μB per cell

***

No. 5
The following is a GGA-PBE calculation of a relaxed NdDyTm2Ag4 crystal, from Alexandria via LeMat-Bulk.

abc: 5.1473 5.1473 25.3639
angles: 90.00 90.00 120.00
Space group R-3m (No. 166, hexagonal axes)
Asymmetric unit:
Nd 0.0000 0.0000 0.0000 [3 per cell]
Dy 0.0000 0.0000 0.5000 [3 per cell]
Tm 0.0000 0.0000 0.2490 [6 per cell]
Ag 0.0000 0.0000 0.1270 [6 per cell]
Ag 0.0000 0.0000 0.3783 [6 per cell]

Energy of formation = -0.31 eV/atom
D(E_F) = 14.9 states/eV/cell
Magnetic moment = 0.0 μB per cell

***

No. 6
The following is a GGA-PBE calculation of a relaxed KLa4Pb crystal, from Alexandria via LeMat-Bulk.

abc: 9.6331 9.6331 9.6331
angles: 90.00 90.00 90.00
Space group F-43m (No. 216)
Asymmetric unit:
K 0.0000 0.0000 0.0000 [4 per cell]
La 0.1199 0.1199 0.6199 [16 per cell]
Pb 0.2500 0.2500 0.2500 [4 per cell]

Energy of formation = 0.22 eV/atom
D(E_F) = 34.8 states/eV/cell
Magnetic moment = 0.0 μB per cell

***

No. 7
The following is a GGA-PBE calculation of a relaxed Ac2PN crystal, from Alexandria via LeMat-Bulk.

abc: 4.0281 4.0281 21.6418
angles: 90.00 90.00 120.00
Space group R3m (No. 160, hexagonal axes)
Asymmetric unit:
Ac 0.0000 0.0000 0.0000 [3 per cell]
Ac 0.0000 0.0000 0.1514 [3 per cell]
P 0.0000 0.0000 0.5745 [3 per cell]
N 0.0000 0.0000 0.4045 [3 per cell]

Relative energy among the computed polymorphs = 175 meV per atom
Raw formation energy = -4.0 eV per formula unit
Magnetic moment = 0.0 μB per cell

***

No. 8
The following is a GGA-PBE calculation of a relaxed TlH2Au2 crystal, from Alexandria via LeMat-Bulk.

abc: 7.7716 7.7716 3.0215
angles: 90.00 90.00 90.00
Space group P4/mbm (No. 127)
Asymmetric unit:
Tl 0.0000 0.0000 0.0000 [2 per cell]
H 0.2114 0.2886 0.0000 [4 per cell]
Au 0.1318 0.3682 0.5000 [4 per cell]

Relative energy among the computed polymorphs = 117 meV per atom
D(E_F) = 1.1 states/eV/cell
Magnetic moment = 0.0 μB per cell

***

> The highest magnetic moment belongs to which entry?

Y2CoPt

***

> The highest magnetic moment belongs to which entry?

Y2CoPt

***

> Look up the magnetic moment of the fourth one.

0.0 μB per cell